# 1
{
  "formula": "Pa2RhWN5",
  "functional": "PBE",
  "state": "optimized geometry",
  "e_tot_ev_per_atom": -9.8408,
  "m_tot_mub_per_cell": 0.0,
  "mass_density_g_cm3": 12.361,
  "sg": "No. 36",
  "lattice": [[1.656, -6.449, 0.000], [1.656, 6.449, 0.000], [0.000, 0.000, 10.298]],
  "species": ["Pa", "Pa", "Pa", "Pa", "Rh", "Rh", "W", "W", "N", "N", "N", "N", "N", "N", "N", "N", "N", "N"],
  "fractional_positions": [[0.099, 0.901, 0.500], [0.147, 0.853, 0.129], [0.853, 0.147, 0.629], [0.901, 0.099, 0.000], [0.471, 0.529, 0.270], [0.529, 0.471, 0.770], [0.201, 0.799, 0.842], [0.799, 0.201, 0.342], [0.060, 0.940, 0.903], [0.276, 0.724, 0.477], [0.316, 0.684, 0.197], [0.365, 0.635, 0.817], [0.485, 0.515, 0.582], [0.515, 0.485, 0.082], [0.635, 0.365, 0.317], [0.684, 0.316, 0.697], [0.724, 0.276, 0.977], [0.940, 0.060, 0.403]]
}



# 2
{
  "formula": "YPa2RhN4",
  "functional": "PBE",
  "state": "optimized geometry",
  "e_tot_ev_per_atom": -9.5346,
  "m_tot_mub_per_cell": 0.0,
  "mass_density_g_cm3": 9.985,
  "sg": "No. 63",
  "lattice": [[1.756, -5.725, 0.000], [1.756, 5.725, 0.000], [0.000, 0.000, 11.747]],
  "species": ["Y", "Y", "Pa", "Pa", "Pa", "Pa", "Rh", "Rh", "N", "N", "N", "N", "N", "N", "N", "N"],
  "fractional_positions": [[0.107, 0.893, 0.750], [0.893, 0.107, 0.250], [0.370, 0.630, 0.564], [0.370, 0.630, 0.936], [0.630, 0.370, 0.064], [0.630, 0.370, 0.436], [0.157, 0.843, 0.250], [0.843, 0.157, 0.750], [0.000, 0.000, 0.000], [0.000, 0.000, 0.500], [0.271, 0.729, 0.100], [0.271, 0.729, 0.400], [0.471, 0.529, 0.750], [0.529, 0.471, 0.250], [0.729, 0.271, 0.600], [0.729, 0.271, 0.900]]
}



# 3
{
  "formula": "Y2PaRhN4",
  "functional": "PBE",
  "state": "optimized geometry",
  "e_tot_ev_per_atom": -9.0160,
  "m_tot_mub_per_cell": 0.0,
  "mass_density_g_cm3": 8.330,
  "sg": "No. 63",
  "lattice": [[1.692, -5.744, 0.000], [1.692, 5.744, 0.000], [0.000, 0.000, 11.648]],
  "species": ["Y", "Y", "Y", "Y", "Pa", "Pa", "Rh", "Rh", "N", "N", "N", "N", "N", "N", "N", "N"],
  "fractional_positions": [[0.128, 0.872, 0.553], [0.128, 0.872, 0.947], [0.872, 0.128, 0.053], [0.872, 0.128, 0.447], [0.384, 0.616, 0.750], [0.616, 0.384, 0.250], [0.356, 0.644, 0.250], [0.644, 0.356, 0.750], [0.030, 0.970, 0.750], [0.214, 0.786, 0.133], [0.214, 0.786, 0.367], [0.500, 0.500, 0.000], [0.500, 0.500, 0.500], [0.786, 0.214, 0.633], [0.786, 0.214, 0.867], [0.970, 0.030, 0.250]]
}